# AcCeSnGe | the Alexandria database | PBE-GGA | relaxed
# calculated volume = 29.6 A^3/atom
# energy of formation = -0.470 eV per atom
# uncorrected energy = -5.14 eV/atom
data_AcCeSnGe
_chemical_formula_sum 'Ac4 Ce4 Sn4 Ge4'
_symmetry_space_group_name_H-M 'F -4 3 m'
_symmetry_Int_Tables_number 216
_symmetry_space_group_name_Hall 'F -4 2 3'
_cell_length_a 7.7933
_cell_length_b 7.7933
_cell_length_c 7.7933
_cell_angle_alpha 90.00
_cell_angle_beta 90.00
_cell_angle_gamma 90.00
loop_
_atom_site_label
_atom_site_fract_x
_atom_site_fract_y
_atom_site_fract_z
Ac1 0.0000 0.0000 0.0000
Ce1 0.0000 0.0000 0.5000
Sn1 0.2500 0.2500 0.7500
Ge1 0.2500 0.2500 0.2500